The following is a GGA+U calculation of a relaxed VHg3O6 crystal, from Alexandria via LeMat-Bulk.

Output
As for the crystal system: monoclinic. Its uncorrected energy is -44.6 eV/f.u. The calculation puts the density of states at the Fermi level at 3.133 states/eV/f.u. The space-group type is C2/m.

Lattice parameters (Å, degrees): 6.084 6.084 5.209 113.14 113.14 54.31
Element x y z (fractional)
V: 0.000 0.000 0.000
Hg: 0.266 0.266 0.786
Hg: 0.500 0.500 0.500
Hg: 0.734 0.734 0.214
O: 0.156 0.156 0.330
O: 0.161 0.665 0.139
O: 0.335 0.839 0.861
O: 0.665 0.161 0.139
O: 0.839 0.335 0.861
O: 0.844 0.844 0.670